Material: Pr2YTe2N2
Method: DFT, PBE
State: optimized geometry

```
data_Pr2YTe2N2
_cell_length_a 8.832
_cell_length_b 8.832
_cell_length_c 8.832
_cell_angle_alpha 150.80
_cell_angle_beta 150.80
_cell_angle_gamma 41.77
_symmetry_space_group_name_H-M 'P 1'
_symmetry_Int_Tables_number 1
loop_
_symmetry_equiv_pos_as_xyz
'x,y,z'
loop_
_atom_site_label
_atom_site_fract_x
_atom_site_fract_y
_atom_site_fract_z
_atom_site_occupancy
Pr1 0.103 0.103 0.000 1
Pr2 0.897 0.897 0.000 1
Y1 0.500 0.500 0.000 1
Te1 0.314 0.314 0.000 1
Te2 0.686 0.686 0.000 1
N1 0.000 0.500 0.500 1
N2 0.500 0.000 0.500 1
```

As for the uncorrected energy: -6.771 eV/atom. As for the space group: I4/mmm, No. 139. As for the raw formation energy: -1206 meV per atom. The density of states at the Fermi level is 2.80 states/eV/cell. The total magnetization comes out at 0.000 μB/atom.